A | The following is a DFT calculation (PBE) of an optimized crystal structure of AcCd3In3.

```
14
Lattice="-4.448 5.816 2.745 -4.056 -5.127 4.290 4.991 1.016 5.933" Properties=species:S:1:pos:R:3 pbc="T T T"
In -5.364 1.799 4.204
In -0.976 3.162 2.856
In -0.547 -3.337 6.184
In 1.481 -0.774 4.039
In -3.140 -1.109 2.831
In 1.519 3.670 5.822
Cd -3.238 1.626 2.445
Cd -5.266 -0.937 4.590
Cd 1.384 1.962 3.653
Cd -0.840 4.870 5.025
Cd -0.781 -2.309 3.628
Cd 1.715 -1.801 6.595
Ac 0.000 0.000 0.000
Ac -1.757 0.853 6.484
```

Properties
Calculated density ... 6.3 Mg/m³
Symmetry ... Pm-3n

***

B | The following is a DFT calculation (PBE) of an optimized crystal structure of AcCd3In3.

```
14
Lattice="-0.800 9.086 2.936 -4.662 2.017 8.124 4.860 2.994 7.696" Properties=species:S:1:pos:R:3 pbc="T T T"
Cd -3.346 3.536 8.503
Cd 2.743 10.560 10.253
Cd 3.302 4.217 8.204
Cd -3.904 9.879 10.552
Cd 0.047 5.625 13.875
Cd -0.649 8.471 4.880
In -1.905 8.308 9.900
In -0.146 6.415 11.380
In -1.656 5.485 8.988
In 1.054 8.611 9.767
In -0.456 7.681 7.376
In 1.302 5.788 8.855
Ac -0.151 3.524 4.689
Ac -0.452 10.572 14.067
```

Properties
Calculated density ... 4.9 Mg/m³
Symmetry ... Fm-3m

***

List of relative energies, unit meV/atom: A 0; B 329

***

A | The following is a DFT calculation (PBE) of an optimized crystal structure of AcCdIn.

```
3
Lattice="3.846 0.000 0.000 0.000 3.846 0.000 -1.923 -1.923 6.178" Properties=species:S:1:pos:R:3 pbc="T T T"
Ac 1.923 1.923 6.154
In 1.923 1.923 2.306
Cd 0.000 0.000 3.897
```

Properties
Calculated density ... 8.3 Mg/m³
Symmetry ... I4mm

***

B | The following is a DFT calculation (PBE) of an optimized crystal structure of AcCdIn.

```
3
Lattice="4.017 0.000 0.000 0.000 5.134 0.000 0.000 -2.567 4.446" Properties=species:S:1:pos:R:3 pbc="T T T"
Cd 0.667 0.000 0.000
Ac 2.678 0.000 2.964
In 0.671 2.567 1.482
```

Properties
Calculated density ... 8.2 Mg/m³
Symmetry ... P-6m2

***

C | The following is a DFT calculation (PBE) of an optimized crystal structure of AcCdIn.

```
6
Lattice="-1.540 4.890 -0.133 -2.960 1.905 5.423 4.350 4.128 2.531" Properties=species:S:1:pos:R:3 pbc="T T T"
In -1.409 4.972 1.337
In 1.259 5.952 6.484
Cd -0.165 2.714 2.811
Cd 0.015 8.209 5.010
Ac -1.791 4.948 4.903
Ac 1.641 5.975 2.918
```

Properties
Calculated density ... 8.3 Mg/m³
Symmetry ... C2/m

***

List of relative energies, unit meV/atom: A 179; B 18; C 0

***

A | The following is a DFT calculation (PBE) of an optimized crystal structure of Ac2Cd5In.

```
16
Lattice="-0.511 -2.649 -4.193 -0.786 -6.270 7.021 -9.954 1.526 0.248" Properties=species:S:1:pos:R:3 pbc="T T T"
Cd -1.964 -5.914 1.010
Cd -0.801 -3.565 -0.615
Cd -5.311 -2.874 -0.502
Cd -7.928 -1.693 -0.930
Cd -5.939 -4.519 3.578
Cd -6.424 -1.918 1.994
Cd -3.322 -5.701 4.005
Cd -4.826 -5.475 1.082
Cd -9.286 -1.480 2.065
Cd -10.449 -3.828 3.690
Ac 0.000 0.000 0.000
Ac -4.977 0.763 0.124
Ac -2.910 -2.692 2.055
Ac -8.340 -4.701 1.021
In -2.858 -1.777 -1.494
In -8.392 -5.616 4.569
```

Properties
Calculated density ... 8.2 Mg/m³
Symmetry ... Cmcm

***

B | The following is a DFT calculation (PBE) of an optimized crystal structure of Ac2Cd5In.

```
8
Lattice="6.874 0.061 0.087 -3.331 6.013 -0.087 -3.331 -2.127 5.625" Properties=species:S:1:pos:R:3 pbc="T T T"
Cd -3.533 0.236 4.217
Cd 1.753 1.223 1.744
Cd -1.945 2.959 4.217
Cd -1.453 0.848 1.208
Cd -3.533 3.885 1.657
Ac -0.101 4.129 1.556
Ac -0.101 0.059 4.412
In -5.468 3.189 4.545
```

Properties
Calculated density ... 8.0 Mg/m³
Symmetry ... I4mm

***

List of relative energies, unit meV/atom: A 0; B 103

***

A | The following is a DFT calculation (PBE) of an optimized crystal structure of AcCdIn3.

```
5
Lattice="4.592 0.007 1.563 -0.542 4.564 1.573 0.146 0.169 6.914" Properties=species:S:1:pos:R:3 pbc="T T T"
In 3.389 2.792 3.070
In 2.453 4.469 5.319
In 0.565 2.084 3.765
Ac 1.873 1.098 7.194
Cd -0.333 3.803 5.910
```

Properties
Calculated density ... 8.0 Mg/m³
Symmetry ... P1

***

B | The following is a DFT calculation (PBE) of an optimized crystal structure of AcCdIn3.

```
10
Lattice="6.464 0.000 0.000 0.000 7.252 0.000 0.000 -3.627 6.280" Properties=species:S:1:pos:R:3 pbc="T T T"
Ac 1.617 0.000 4.186
Ac 4.848 3.626 2.094
Cd 3.232 0.000 0.000
Cd 0.000 0.000 0.000
In 1.616 5.117 1.232
In 4.849 0.000 2.464
In 4.849 -1.492 5.047
In 1.616 3.626 3.815
In 1.616 2.135 1.232
In 4.849 1.491 5.048
```

Properties
Calculated density ... 7.7 Mg/m³
Symmetry ... P6_3/mmc

***

List of relative energies, unit meV/atom: A 0; B 119

***

A | The following is a DFT calculation (PBE) of an optimized crystal structure of AcCd6In2.

```
9
Lattice="3.737 -0.004 -0.003 1.864 8.385 1.871 1.864 2.237 8.295" Properties=species:S:1:pos:R:3 pbc="T T T"
Cd 1.882 0.828 2.945
Cd 5.583 7.639 9.464
Cd 5.583 9.790 7.217
Cd 3.732 6.344 3.999
Cd 1.882 2.978 0.698
Cd 3.732 4.273 6.163
Ac 3.737 -0.004 -0.003
In 1.866 3.821 3.657
In 5.599 6.797 6.505
```

Properties
Calculated density ... 7.7 Mg/m³
Symmetry ... C2/m

***

B | The following is a DFT calculation (PBE) of an optimized crystal structure of AcCd6In2.

```
9
Lattice="-3.503 2.685 1.566 -2.822 -3.736 0.091 2.891 -1.946 9.800" Properties=species:S:1:pos:R:3 pbc="T T T"
Cd -0.536 -2.457 3.010
Cd 0.605 -3.225 6.880
Cd 0.265 -0.015 7.618
Cd -0.877 0.754 3.748
Cd -1.717 -1.498 5.729
Cd 1.446 -0.973 4.900
In -0.663 -2.208 9.300
In -2.771 -0.789 2.157
Ac 0.000 0.000 0.000
```

Properties
Calculated density ... 8.2 Mg/m³
Symmetry ... P4/mmm

***

List of relative energies, unit meV/atom: A 74; B 0

***

A | The following is a DFT calculation (PBE) of an optimized crystal structure of AcCd2In3.

```
12
Lattice="-0.062 -6.242 2.110 8.184 0.181 0.776 4.375 2.190 6.609" Properties=species:S:1:pos:R:3 pbc="T T T"
Ac 7.013 -0.770 3.073
Ac 5.485 -3.100 6.421
In 8.998 -3.291 5.961
In 7.403 -4.112 3.483
In 8.142 0.298 6.264
In 4.356 -4.168 3.231
In 5.095 0.243 6.011
In 3.500 -0.579 3.534
Cd 10.626 2.007 6.248
Cd 10.595 -1.114 7.303
Cd 1.903 -2.756 2.192
Cd 1.934 0.365 1.137
```

Properties
Calculated density ... 7.5 Mg/m³
Symmetry ... Cmcm

***

B | The following is a DFT calculation (PBE) of an optimized crystal structure of AcCd2In3.

```
12
Lattice="6.927 0.000 0.000 0.000 7.414 -1.121 0.000 -1.826 7.273" Properties=species:S:1:pos:R:3 pbc="T T T"
Ac 5.195 1.490 4.260
Ac 1.732 4.097 1.891
In 1.732 0.359 3.273
In 1.732 2.364 5.481
In 5.195 6.068 0.101
In 5.195 3.224 0.670
In 5.195 5.229 2.878
In 1.732 -0.480 6.050
Cd 0.000 4.565 5.026
Cd 3.464 1.022 1.125
Cd 3.464 4.565 5.026
Cd 0.000 1.022 1.125
```

Properties
Calculated density ... 7.4 Mg/m³
Symmetry ... Cmcm

***

List of relative energies, unit meV/atom: A 0; B 5